1.
Density functional theory data (PBE) for a relaxed TmHfSc2Rh4 crystal.

Unit cell a=8.047 b=8.047 c=8.047 alpha=33.48 beta=33.48 gamma=33.48
Fractional coordinates of all 8 atoms:
Tm  0.000  0.000  0.000
Hf  0.500  0.500  0.500
Sc  0.249  0.249  0.249
Sc  0.751  0.751  0.751
Rh  0.129  0.129  0.129
Rh  0.379  0.379  0.379
Rh  0.621  0.621  0.621
Rh  0.871  0.871  0.871

Computed properties:
- mass density (kg/m3) = 9981
- V (Å³ per cell) = 141.2
- uncorrected energy (eV per atom) = -8.04

***

2.
Density functional theory data (PBE) for a relaxed MnCdTc2 crystal.

Unit cell a=4.764 b=4.764 c=4.764 alpha=130.18 beta=130.18 gamma=73.12
Fractional coordinates of all 4 atoms:
Mn  0.000  0.000  0.000
Cd  0.750  0.250  0.500
Tc  0.250  0.750  0.500
Tc  0.500  0.500  0.000

Computed properties:
- mass density (kg/m3) = 9790
- V (Å³ per cell) = 61.6
- uncorrected energy (eV per atom) = -7.32

***

3.
Density functional theory data (PBE) for a relaxed AcPmBr6 crystal.

Unit cell a=8.025 b=8.025 c=8.025 alpha=54.50 beta=54.50 gamma=54.50
Fractional coordinates of all 8 atoms:
Ac  0.000  0.000  0.000
Pm  0.500  0.500  0.500
Br  0.095  0.740  0.422
Br  0.260  0.578  0.905
Br  0.422  0.095  0.740
Br  0.578  0.905  0.260
Br  0.740  0.422  0.095
Br  0.905  0.260  0.578

Computed properties:
- formation energy without anion corrections (eV per atom) = -1.91
- mass density (kg/m3) = 4437
- V (Å³ per cell) = 318.6
- uncorrected energy (eV per atom) = -4.27

***

4.
Density functional theory data (PBE) for a relaxed MnRhS4 crystal.

Unit cell a=5.565 b=5.561 c=5.568 alpha=90.00 beta=90.46 gamma=90.00
Fractional coordinates of all 12 atoms:
Mn  0.000  0.000  0.000
Mn  0.000  0.500  0.500
Rh  0.500  0.000  0.500
Rh  0.500  0.500  0.000
S  0.102  0.124  0.626
S  0.102  0.376  0.126
S  0.371  0.608  0.606
S  0.371  0.892  0.106
S  0.629  0.108  0.894
S  0.629  0.392  0.394
S  0.898  0.624  0.874
S  0.898  0.876  0.374

Computed properties:
- formation energy without anion corrections (eV per atom) = -0.51
- E above lowest polymorph (eV per atom) = 0.000
- mass density (kg/m3) = 5515
- V (Å³ per cell) = 172.3
- uncorrected energy (eV per atom) = -6.01

***

5.
Density functional theory data (PBE) for a relaxed PaV4Sn crystal.

Unit cell a=5.273 b=5.273 c=5.273 alpha=60.00 beta=60.00 gamma=60.00
Fractional coordinates of all 6 atoms:
Pa  0.000  0.000  0.000
V  0.113  0.629  0.629
V  0.629  0.113  0.629
V  0.629  0.629  0.113
V  0.629  0.629  0.629
Sn  0.250  0.250  0.250

Computed properties:
- mass density (kg/m3) = 8865
- V (Å³ per cell) = 103.7
- uncorrected energy (eV per atom) = -8.20

***

6.
Density functional theory data (PBE) for a relaxed BePtBr crystal.

Unit cell a=4.170 b=4.170 c=4.170 alpha=60.00 beta=60.00 gamma=60.00
Fractional coordinates of all 3 atoms:
Be  0.000  0.000  0.000
Pt  0.250  0.250  0.250
Br  0.750  0.750  0.750

Computed properties:
- formation energy without anion corrections (eV per atom) = 0.44
- E above lowest polymorph (eV per atom) = 0.540
- mass density (kg/m3) = 9197
- V (Å³ per cell) = 51.3
- uncorrected energy (eV per atom) = -3.38

***

7.
Density functional theory data (PBE) for a relaxed Dy4Te3N crystal.

Unit cell a=10.038 b=7.966 c=5.980 alpha=90.00 beta=90.00 gamma=90.00
Fractional coordinates of all 16 atoms:
Dy  0.000  0.127  0.000
Dy  0.000  0.861  0.475
Dy  0.203  0.235  0.458
Dy  0.297  0.765  0.958
Dy  0.500  0.139  0.975
Dy  0.500  0.873  0.500
Dy  0.703  0.765  0.958
Dy  0.797  0.235  0.458
Te  0.000  0.748  0.978
Te  0.238  0.357  0.960
Te  0.262  0.643  0.460
Te  0.500  0.252  0.478
Te  0.738  0.643  0.460
Te  0.762  0.357  0.960
N  0.000  0.136  0.380
N  0.500  0.864  0.880

Computed properties:
- formation energy without anion corrections (eV per atom) = -1.19
- mass density (kg/m3) = 7271
- V (Å³ per cell) = 478.1
- uncorrected energy (eV per atom) = -5.71

***

8.
Density functional theory data (PBE) for a relaxed Ac4LaTe6 crystal.

Unit cell a=9.284 b=9.284 c=9.284 alpha=90.73 beta=90.73 gamma=90.73
Fractional coordinates of all 22 atoms:
Ac  0.140  0.750  0.360
Ac  0.250  0.250  0.250
Ac  0.250  0.640  0.860
Ac  0.360  0.140  0.750
Ac  0.640  0.860  0.250
Ac  0.750  0.360  0.140
Ac  0.750  0.750  0.750
Ac  0.860  0.250  0.640
La  0.000  0.000  0.000
La  0.500  0.500  0.500
Te  0.061  0.916  0.676
Te  0.084  0.324  0.939
Te  0.176  0.416  0.561
Te  0.324  0.939  0.084
Te  0.416  0.561  0.176
Te  0.439  0.824  0.584
Te  0.561  0.176  0.416
Te  0.584  0.439  0.824
Te  0.676  0.061  0.916
Te  0.824  0.584  0.439
Te  0.916  0.676  0.061
Te  0.939  0.084  0.324

Computed properties:
- formation energy without anion corrections (eV per atom) = -1.46
- mass density (kg/m3) = 7524
- V (Å³ per cell) = 800.0
- uncorrected energy (eV per atom) = -5.12

***

9.
Density functional theory data (PBE) for a relaxed CoRe2Te crystal.

Unit cell a=4.850 b=4.850 c=4.575 alpha=97.08 beta=97.08 gamma=36.44
Fractional coordinates of all 4 atoms:
Co  0.000  0.000  0.000
Re  0.275  0.275  0.789
Re  0.725  0.725  0.211
Te  0.500  0.500  0.500

Computed properties:
- formation energy without anion corrections (eV per atom) = 0.55
- mass density (kg/m3) = 14647
- V (Å³ per cell) = 63.4
- uncorrected energy (eV per atom) = -8.23

***

10.
Density functional theory data (PBE) for a relaxed Cs2TlCdHg crystal.

Unit cell a=7.428 b=7.428 c=5.706 alpha=90.00 beta=90.00 gamma=90.00
Fractional coordinates of all 5 atoms:
Cs  0.000  0.500  0.000
Cs  0.500  0.000  0.000
Tl  0.000  0.000  0.000
Cd  0.000  0.000  0.500
Hg  0.500  0.500  0.500

Computed properties:
- E above lowest polymorph (eV per atom) = 0.000
- mass density (kg/m3) = 4131
- V (Å³ per cell) = 314.8
- uncorrected energy (eV per atom) = -1.03